# 1
Density functional theory data (PBE) for a relaxed structure of TbGdIr.

- DOS at the Fermi energy: 1.025 states/eV/atom
- E_form: -0.66 eV/atom
- Total DFT energy (no corrections): -9.850 eV per atom
- Excess energy over the best structure of this formula in the dataset: 0 meV/atom

Geometry as CIF:
```
data_TbGdIr
_chemical_formula_sum 'Tb4 Gd4 Ir4'
_cell_length_a 6.837
_cell_length_b 6.837
_cell_length_c 6.837
_cell_angle_alpha 90.00
_cell_angle_beta 90.00
_cell_angle_gamma 90.00
_space_group_name_H-M_alt 'F -4 3 m'
_space_group_IT_number 216
_space_group_name_Hall 'F -4 2 3'
loop_
_atom_site_label
_atom_site_type_symbol
_atom_site_fract_x
_atom_site_fract_y
_atom_site_fract_z
Tb1 Tb 0.000 0.000 0.000
Gd1 Gd 0.000 0.000 0.500
Ir1 Ir 0.250 0.250 0.750
```



# 2
Density functional theory data (PBE) for a relaxed structure of Ca3ZnCl.

- DOS at the Fermi energy: 1.460 states/eV/atom
- Formation energy (no corrections): -444 meV/atom
- Total DFT energy (no corrections): -2.269 eV per atom
- Excess energy over the best structure of this formula in the dataset: 0 meV/atom

Geometry as CIF:
```
data_Ca3ZnCl
_chemical_formula_sum 'Ca3 Zn1 Cl1'
_cell_length_a 5.367
_cell_length_b 5.367
_cell_length_c 5.367
_cell_angle_alpha 90.00
_cell_angle_beta 90.00
_cell_angle_gamma 90.00
_space_group_name_H-M_alt 'P m -3 m'
_space_group_IT_number 221
_space_group_name_Hall '-P 4 2 3'
loop_
_atom_site_label
_atom_site_type_symbol
_atom_site_fract_x
_atom_site_fract_y
_atom_site_fract_z
Ca1 Ca 0.000 0.000 0.500
Zn1 Zn 0.500 0.500 0.500
Cl1 Cl 0.000 0.000 0.000
```